This record from Alexandria via LeMat-Bulk describes crystalline NaInSb2Os at its relaxed geometry. The functional is PBE-GGA.

Summary:
symmetry	P4/mmm
ΔE_f (raw)	1.22	eV/atom

a = 5.6335 Å, b = 5.0748 Å, c = 5.6335 Å
α = 90.00°, β = 90.00°, γ = 90.00°
Last column: nearest neighbours and their distance in Å.
Element x y z (fractional)
Os: 0.0000 0.5000 0.0000  2 In 2.54
Sb: 0.5000 0.0000 0.0000  2 In 2.82
Na: 0.5000 0.5000 0.5000  8 Sb 3.79, 4 Os 3.98
In: 0.0000 0.0000 0.0000  2 Os 2.54, 4 Sb 2.82
Sb: 0.0000 0.0000 0.5000  2 In 2.82

This record from Alexandria via LeMat-Bulk describes crystalline KPt3 at its relaxed geometry. The functional is PBE-GGA.

Summary:
ΔH_f (0 K)	0.252	eV/atom
symmetry	Fmmm

a = 5.2384 Å, b = 5.2384 Å, c = 10.6924 Å
α = 83.47°, β = 83.47°, γ = 122.39°
Last column: nearest neighbours and their distance in Å.
Element x y z (fractional)
Pt: 0.7500 0.2500 0.5000  6 Pt 2.52-2.63
Pt: 0.5000 0.0000 0.0000  2 Pt 2.52
Pt: 0.0000 0.5000 0.0000  2 Pt 2.52
K: 0.3936 0.3936 0.2128  5 Pt 3.25-3.43
K: 0.6064 0.6064 0.7872  5 Pt 3.25-3.43
Pt: 0.7628 0.7628 0.4745  6 Pt 2.58-2.63
Pt: 0.2500 0.7500 0.5000  6 Pt 2.52-2.63
Pt: 0.2372 0.2372 0.5255  6 Pt 2.58-2.63

This record from Alexandria via LeMat-Bulk describes crystalline Ac2BeGa at its relaxed geometry. The functional is PBE-GGA.

Summary:
ΔH_f (0 K)	-0.036	eV/atom
symmetry	P4/mmm

a = 3.8222 Å, b = 3.8222 Å, c = 7.7301 Å
α = 90.00°, β = 90.00°, γ = 90.00°
Last column: nearest neighbours and their distance in Å.
Element x y z (fractional)
Ga: 0.5000 0.5000 0.5000  8 Ac 3.38
Ac: 0.0000 0.0000 0.2372  4 Be 3.27, 4 Ga 3.38
Be: 0.5000 0.5000 0.0000  8 Ac 3.27
Ac: 0.0000 0.0000 0.7628  4 Be 3.27, 4 Ga 3.38

This record from Alexandria via LeMat-Bulk describes crystalline ErBe9Pd2 at its relaxed geometry. The functional is PBE-GGA.

Summary:
ΔH_f (0 K)	-0.312	eV/atom
symmetry	P6_3/mmc

a = 4.5029 Å, b = 4.5029 Å, c = 14.3434 Å
α = 90.00°, β = 90.00°, γ = 120.00°
Last column: nearest neighbours and their distance in Å.
Element x y z (fractional)
Be: 0.1678 0.8322 0.1195  7 Be 2.16-2.28
Er: 0.6667 0.3333 0.2500  6 Be 2.60
Be: 0.1678 0.3357 0.3805  7 Be 2.16-2.28
Pd: 0.6667 0.3333 0.0418  12 Be 2.51-2.67
Be: 0.0000 0.0000 0.7500  6 Be 2.28
Be: 0.8322 0.1678 0.8805  7 Be 2.16-2.28
Be: 0.6667 0.3333 0.7500  6 Be 2.27
Er: 0.3333 0.6667 0.7500  6 Be 2.60
Pd: 0.6667 0.3333 0.4582  12 Be 2.51-2.67
Be: 0.6643 0.8322 0.1195  7 Be 2.16-2.28
Be: 0.3333 0.6667 0.2500  6 Be 2.27
Pd: 0.3333 0.6667 0.9582  12 Be 2.51-2.67
Be: 0.3357 0.1678 0.8805  7 Be 2.16-2.28
Be: 0.1678 0.8322 0.3805  7 Be 2.16-2.28
Be: 0.8322 0.6643 0.8805  7 Be 2.16-2.28
Be: 0.6643 0.8322 0.3805  7 Be 2.16-2.28
Be: 0.0000 0.0000 0.0000  6 Be 2.16
Be: 0.3357 0.1678 0.6195  7 Be 2.16-2.28
Pd: 0.3333 0.6667 0.5418  12 Be 2.51-2.67
Be: 0.8322 0.6643 0.6195  7 Be 2.16-2.28
Be: 0.0000 0.0000 0.2500  6 Be 2.28
Be: 0.8322 0.1678 0.6195  7 Be 2.16-2.28
Be: 0.0000 0.0000 0.5000  6 Be 2.16
Be: 0.1678 0.3357 0.1195  7 Be 2.16-2.28